[1]
Entry from OQMD via LeMat-Bulk: a relaxed Gd3Tl3Pb4 crystal (PBE).

```
Gd3Tl3Pb4
1.0
2.312 -12.745 0.000
2.312 12.745 0.000
0.000 0.000 4.764
Gd Pb Tl
3 4 3
direct
0.689 0.311 0.000
0.500 0.500 0.000
0.311 0.689 0.000
0.905 0.095 0.000
0.095 0.905 0.000
0.795 0.205 0.500
0.205 0.795 0.500
0.000 0.000 0.500
0.597 0.403 0.500
0.403 0.597 0.500
```

Theoretical density = 11.32 Mg/m³
Energy above the lowest structure with this stoichiometry = 0.0000 eV per atom
Total moment = 0.01 μB/cell


[2]
Entry from OQMD via LeMat-Bulk: a relaxed NaYNiPb crystal (PBE).

```
NaYNiPb
1.0
2.744 -1.296 3.802
-1.013 -4.077 2.453
2.965 -3.842 -0.337
Na Ni Pb Y
1 1 1 1
direct
0.750 0.750 0.750
0.250 0.250 0.250
0.500 0.500 0.500
0.000 0.000 0.000
```

Theoretical density = 7.71 Mg/m³
Energy above the lowest structure with this stoichiometry = 0.0000 eV per atom
Total moment = 0.00 μB/cell